No. 1
A plane-wave DFT calculation with PBE was carried out for NpSbHRu after structural relaxation.

calculated density = 11.33 g/cm3
spin magnetization = 0.80 μB/atom
DFT total energy = -30.58 eV per cell

Cell lengths 4.3937, 4.7280, 3.6731 Å; angles 90.00, 90.00, 117.69 degrees
Fractional positions:
Sb (0.9102, 0.8204, 0.8101)
Np (0.5938, 0.1875, 0.3101)
Ru (0.2267, 0.4535, 0.8095)
H (0.2236, 0.4472, 0.3095)

***

No. 2
A plane-wave DFT calculation with PBE was carried out for SiPd2C after structural relaxation.

calculated density = 6.50 g/cm3
spin magnetization = 0.00 μB/atom
DFT total energy = -45.86 eV per cell
formation energy (no corrections) = 525 meV/atom
distance to the lowest polymorph of the same formula = 0 meV/atom

Cell lengths 4.8574, 4.8574, 6.4622 Å; angles 67.92, 67.92, 90.00 degrees
Fractional positions:
Pd (0.8750, 0.8030, 0.7500)
C (0.5000, 0.5000, 0.0000)
Si (0.7500, 0.2500, 0.5000)
C (0.2500, 0.7500, 0.5000)
Si (0.0000, 0.0000, 0.0000)
Pd (0.1970, 0.6250, 0.2500)
Pd (0.3750, 0.4470, 0.7500)
Pd (0.5530, 0.1250, 0.2500)

***

No. 3
A plane-wave DFT calculation with PBE was carried out for SrNb2Br after structural relaxation.

calculated density = 4.96 g/cm3
spin magnetization = 0.00 μB/atom
DFT total energy = -41.10 eV per cell
formation energy (no corrections) = 736 meV/atom
distance to the lowest polymorph of the same formula = 0 meV/atom

Cell lengths 4.8353, 4.8353, 10.6749 Å; angles 76.91, 76.91, 90.00 degrees
Fractional positions:
Nb (0.8750, 0.6160, 0.7500)
Nb (0.3750, 0.6340, 0.7500)
Br (0.2500, 0.7500, 0.5000)
Sr (0.7500, 0.2500, 0.5000)
Br (0.5000, 0.5000, 0.0000)
Nb (0.3660, 0.1250, 0.2500)
Sr (0.0000, 0.0000, 0.0000)
Nb (0.3840, 0.6250, 0.2500)